The following is a PBE calculation of ScInSb2 after structural relaxation, from Alexandria via LeMat-Bulk.

theoretical density = 6.4 Mg/m³
magnetization = 0.00 μB/f.u.
space group = No. 99
energy relative to the elements, uncorrected = -0.15 eV per atom

Geometry as POSCAR:
```
ScInSb2
1.0
3.3121 0.0000 0.0000
0.0000 3.3121 0.0000
0.0000 0.0000 9.5928
Sc In Sb
1 1 2
direct
0.0000 0.0000 0.0000 Sc
0.5000 0.5000 0.2257 In
0.0000 0.0000 0.4626 Sb
0.5000 0.5000 0.7921 Sb
```

The following is a PBE calculation of Sc4InSb2 after structural relaxation, from Alexandria via LeMat-Bulk.

theoretical density = 4.8 Mg/m³
magnetization = 0.00 μB/f.u.
space group = No. 141
energy relative to the elements, uncorrected = -0.50 eV per atom

Geometry as POSCAR:
```
Sc4InSb2
1.0
-4.5860 4.5860 4.4540
4.5860 -4.5860 4.4540
4.5860 4.5860 -4.4540
Sc In Sb
8 2 4
direct
0.1855 0.2494 0.5639 Sc
0.1855 0.6216 0.9361 Sc
0.2494 0.1855 0.0639 Sc
0.3784 0.8145 0.5639 Sc
0.6216 0.1855 0.4361 Sc
0.7506 0.8145 0.9361 Sc
0.8145 0.3784 0.0639 Sc
0.8145 0.7506 0.4361 Sc
0.1250 0.8750 0.2500 In
0.8750 0.1250 0.7500 In
0.0000 0.5000 0.5000 Sb
0.5000 0.0000 0.0000 Sb
0.5000 0.5000 0.0000 Sb
0.5000 0.5000 0.5000 Sb
```

The following is a PBE calculation of ScInSb after structural relaxation, from Alexandria via LeMat-Bulk.

theoretical density = 6.4 Mg/m³
magnetization = 0.00 μB/f.u.
space group = No. 107
energy relative to the elements, uncorrected = -0.35 eV per atom

Geometry as POSCAR:
```
ScInSb
1.0
-1.9308 1.9308 4.9275
1.9308 -1.9308 4.9275
1.9308 1.9308 -4.9275
Sc In Sb
1 1 1
direct
0.0000 0.0000 0.0000 Sc
0.3247 0.3247 0.0000 In
0.6401 0.6401 0.0000 Sb
```

Look up the theoretical density of the first one.
6.4 Mg/m³

Number 3 is which compound?
ScInSb

Number 2 is which compound?
Sc4InSb2